Entry 1:
The following is a PBE calculation of a geometry-optimized CaReP2 structure, from the Alexandria database. Values from VASP.

```
&SYSTEM
  ibrav = 0, nat = 4, ntyp = 3
/
ATOMIC_SPECIES
Ca 40.08 Ca.upf
P 30.97 P.upf
Re 186.21 Re.upf
CELL_PARAMETERS angstrom
-0.643 4.125 2.237
-3.508 1.015 -3.016
0.383 -3.518 3.148
ATOMIC_POSITIONS crystal
Ca 0.250 0.750 0.500
P 0.554 0.554 0.000
P 0.946 0.946 0.000
Re 0.750 0.250 0.500
```

Entry 2:
The following is a PBE calculation of a geometry-optimized CaReP2 structure, from the Alexandria database. Values from VASP.

```
&SYSTEM
  ibrav = 0, nat = 4, ntyp = 3
/
ATOMIC_SPECIES
P 30.97 P.upf
Ca 40.08 Ca.upf
Re 186.21 Re.upf
CELL_PARAMETERS angstrom
4.216 0.000 0.000
0.000 3.397 0.003
0.000 1.694 5.989
ATOMIC_POSITIONS crystal
P 0.500 0.357 0.412
P 0.000 0.062 0.001
Ca 0.500 0.653 0.819
Re 0.000 0.428 0.268
```

no.,ΔE_f (eV/atom),mass density (g/cm3)
1,-0.1585,6.62
2,-0.3472,5.58